Compound: Nd8Dy6Mg
Source: the Alexandria database
Functional: PBE
Structure: optimized geometry

abc: 6.534 9.399 9.399
angles: 120.00 90.00 90.00
Fractional coordinates of all 15 atoms:
Nd 0.863 0.333 0.667
Nd 0.824 0.237 0.961
Dy 0.336 0.349 0.904
Nd 0.176 0.763 0.039
Dy 0.664 0.904 0.555
Nd 0.137 0.667 0.333
Nd 0.824 0.724 0.763
Nd 0.176 0.276 0.237
Dy 0.664 0.445 0.349
Dy 0.336 0.555 0.651
Nd 0.824 0.039 0.276
Nd 0.176 0.961 0.724
Dy 0.336 0.096 0.445
Mg 0.500 0.000 0.000
Dy 0.664 0.651 0.096

Computed properties:
As for the formation energy from the elements: 0.13 eV/atom. The energy is -4.36 eV/atom. The crystal system is trigonal.